[1]
Density functional theory data (PBEsol) for an optimized crystal structure of ScTl2Ru.

Results
M_tot = 0.00 μB/f.u.
E_form = 0.112 eV per atom
Fermi-level density of states = 0.873 states/eV/atom
E = -5.3979 eV/atom

Cell: 4.1609 4.3916 4.2322 Å, 90.00 90.00 90.00°
Element x y z (fractional)
Ru: 0.5000 0.5000 0.0000
Sc: 0.0000 0.5000 0.5000
Tl: 0.0000 0.0000 0.0000
Tl: 0.5000 0.0000 0.5000

---

[2]
Density functional theory data (PBEsol) for an optimized crystal structure of LiNb2TlSb.

Results
M_tot = 1.95 μB/f.u.
Fermi-level density of states = 1.147 states/eV/atom
E_form (uncorrected) = 1.181 eV per atom
E = -4.9780 eV/atom

Cell: 4.3665 5.1801 5.1801 Å, 90.00 90.00 90.00°
Last column: magnetic moment on the atom in μB.
Element x y z (fractional)
Sb: 0.5000 0.5000 0.5000  -0.04
Tl: 0.0000 0.0000 0.0000  0.01
Nb: 0.0000 0.0000 0.5000  0.80
Nb: 0.0000 0.5000 0.0000  0.80
Li: 0.5000 0.0000 0.0000  -0.01

---

[3]
Density functional theory data (PBEsol) for an optimized crystal structure of LaBe2Ga2.

Results
M_tot = 0.00 μB/f.u.
E_form = -0.383 eV per atom
Fermi-level density of states = 0.261 states/eV/atom
E = -4.3886 eV/atom

Cell: 4.0986 4.0986 5.7028 Å, 111.06 111.06 90.00°
Element x y z (fractional)
Be: 0.2500 0.7500 0.5000
Be: 0.7500 0.2500 0.5000
Ga: 0.3693 0.3693 0.7386
Ga: 0.6307 0.6307 0.2614
La: 0.0000 0.0000 0.0000

---

[4]
Density functional theory data (PBEsol) for an optimized crystal structure of Sc2SiP.

Results
M_tot = 0.89 μB/f.u.
Fermi-level density of states = 1.138 states/eV/atom
E_form (uncorrected) = -0.244 eV per atom
E = -6.4312 eV/atom
Polymorph energy (0 for the lowest one) = 699.9 meV per atom

Cell: 3.3363 3.3363 8.2400 Å, 78.32 78.32 60.00°
Last column: magnetic moment on the atom in μB.
Element x y z (fractional)
P: 0.2380 0.2380 0.2859  0.01
Sc: 0.9868 0.9868 0.0396  0.24
Sc: 0.7576 0.7576 0.7273  0.25
Si: 0.5176 0.5176 0.4472  0.00

---

[5]
Density functional theory data (PBEsol) for an optimized crystal structure of Li2TiV3O8.

Results
M_tot = 4.09 μB/f.u.
Fermi-level density of states = 0.502 states/eV/atom
E_form (uncorrected) = -2.489 eV per atom
E = -8.4281 eV/atom
Polymorph energy (0 for the lowest one) = 0.0 meV per atom

Cell: 8.2043 8.2052 8.2052 Å, 90.00 90.00 90.00°
Last column: magnetic moment on the atom in μB.
Element x y z (fractional)
Li: 0.7491 0.7490 0.7490  0.00
Li: 0.5054 0.5054 0.5053  0.01
Li: 0.4946 0.0054 0.9947  0.01
Li: 0.2509 0.2490 0.7510  0.00
Li: 0.2491 0.7510 0.2510  0.00
Li: 0.0054 0.9946 0.4947  0.01
Li: 0.9946 0.4946 0.0053  0.01
Li: 0.7509 0.2510 0.2490  0.00
Ti: 0.6190 0.3810 0.8809  0.08
Ti: 0.3810 0.8810 0.6191  0.08
Ti: 0.1190 0.1190 0.1191  0.08
Ti: 0.8810 0.6190 0.3809  0.08
V: 0.6346 0.1313 0.6232  1.23
V: 0.6313 0.8768 0.3654  1.23
V: 0.6232 0.6346 0.1313  1.23
V: 0.3768 0.1346 0.3687  1.23
V: 0.3687 0.3768 0.1346  1.23
V: 0.3654 0.6313 0.8768  1.23
V: 0.1346 0.3687 0.3768  1.23
V: 0.1313 0.6232 0.6346  1.23
V: 0.1232 0.8654 0.8687  1.23
V: 0.8768 0.3654 0.6313  1.23
V: 0.8687 0.1232 0.8654  1.23
V: 0.8654 0.8687 0.1232  1.23
O: 0.6389 0.3672 0.6367  0.00
O: 0.6328 0.1367 0.8612  0.00
O: 0.6277 0.8723 0.1278  0.01
O: 0.6175 0.8891 0.6092  0.01
O: 0.6367 0.6389 0.3672  0.00
O: 0.6145 0.1145 0.3855  -0.01
O: 0.6109 0.3909 0.1174  0.01
O: 0.6091 0.6174 0.8891  0.01
O: 0.3909 0.1174 0.6109  0.01
O: 0.3891 0.8909 0.3826  0.01
O: 0.3855 0.6145 0.1145  -0.01
O: 0.3633 0.1389 0.1328  0.00
O: 0.3825 0.3891 0.8908  0.01
O: 0.3723 0.3723 0.3722  0.01
O: 0.3672 0.6367 0.6388  0.00
O: 0.3611 0.8672 0.8633  0.00
O: 0.1389 0.1328 0.3633  0.00
O: 0.1328 0.3633 0.1388  0.00
O: 0.1277 0.6277 0.8722  0.01
O: 0.1175 0.6109 0.3908  0.01
O: 0.1367 0.8611 0.6328  0.00
O: 0.1145 0.3855 0.6145  -0.01
O: 0.1109 0.1091 0.8826  0.01
O: 0.1091 0.8826 0.1109  0.01
O: 0.8909 0.3826 0.3891  0.01
O: 0.8891 0.6091 0.6174  0.01
O: 0.8855 0.8855 0.8855  -0.01
O: 0.8633 0.3611 0.8672  0.00
O: 0.8825 0.1109 0.1092  0.01
O: 0.8723 0.1277 0.6278  0.01
O: 0.8672 0.8633 0.3612  0.00
O: 0.8611 0.6328 0.1367  0.00

---

[6]
Density functional theory data (PBEsol) for an optimized crystal structure of ErCu3S3.

Results
M_tot = 0.00 μB/f.u.
Fermi-level density of states = 0.000 states/eV/atom
E_form (uncorrected) = -0.900 eV per atom
E = -5.3405 eV/atom

Cell: 6.2123 6.5527 6.5527 Å, 120.00 90.00 90.00°
Element x y z (fractional)
Er: 0.5000 0.6667 0.3333
Er: 0.5000 0.3333 0.6667
Cu: 0.1317 0.0000 0.3425
Cu: 0.1317 0.6575 0.6575
Cu: 0.1317 0.3425 0.0000
Cu: 0.8683 0.0000 0.6575
Cu: 0.8683 0.3425 0.3425
Cu: 0.8683 0.6575 0.0000
S: 0.2515 0.6728 0.0000
S: 0.2515 0.0000 0.6728
S: 0.2515 0.3272 0.3272
S: 0.7485 0.3272 0.0000
S: 0.7485 0.0000 0.3272
S: 0.7485 0.6728 0.6728

---

[7]
Density functional theory data (PBEsol) for an optimized crystal structure of TaAlZn.

Results
M_tot = 0.00 μB/f.u.
E_form = -0.261 eV per atom
Fermi-level density of states = 0.214 states/eV/atom
E = -6.3358 eV/atom

Cell: 4.9671 4.9671 8.2536 Å, 90.00 90.00 119.31°
Element x y z (fractional)
Ta: 0.3350 0.6650 0.3148
Ta: 0.6633 0.3367 0.1904
Ta: 0.6633 0.3367 0.8096
Ta: 0.3350 0.6650 0.6852
Al: 0.9971 0.0029 0.2421
Al: 0.9971 0.0029 0.7579
Al: 0.3465 0.1668 0.5000
Al: 0.8332 0.6535 0.5000
Zn: 0.8341 0.1659 0.5000
Zn: 0.6521 0.8282 0.0000
Zn: 0.1718 0.3479 0.0000
Zn: 0.1714 0.8286 0.0000

---

[8]
Density functional theory data (PBEsol) for an optimized crystal structure of LiTa2Cr.

Results
M_tot = 0.00 μB/f.u.
E_form = 0.294 eV per atom
Fermi-level density of states = 0.801 states/eV/atom
E = -9.0333 eV/atom

Cell: 2.7698 2.7698 9.1250 Å, 90.00 90.00 112.71°
Element x y z (fractional)
Cr: 0.5000 0.5000 0.5000
Li: 0.5000 0.5000 0.0000
Ta: 0.0000 0.0000 0.2801
Ta: 0.0000 0.0000 0.7199

---

[9]
Density functional theory data (PBEsol) for an optimized crystal structure of Ba2TaAu.

Results
M_tot = 2.72 μB/f.u.
E_form = 0.787 eV per atom
Fermi-level density of states = 1.167 states/eV/atom
E = -4.4067 eV/atom
Polymorph energy (0 for the lowest one) = 100.3 meV per atom

Cell: 4.6781 4.6781 6.2674 Å, 111.91 111.91 90.00°
Last column: magnetic moment on the atom in μB.
Element x y z (fractional)
Au: 0.2500 0.7500 0.5000  0.04
Ba: 0.0000 0.0000 0.0000  0.12
Ba: 0.7500 0.2500 0.5000  0.10
Ta: 0.5000 0.5000 0.0000  1.49

---

[10]
Density functional theory data (PBEsol) for an optimized crystal structure of Tl2PtCl.

Results
M_tot = 0.00 μB/f.u.
Fermi-level density of states = 0.336 states/eV/atom
E_form (uncorrected) = -0.027 eV per atom
E = -3.5853 eV/atom
Polymorph energy (0 for the lowest one) = 241.8 meV per atom

Cell: 3.9682 3.9682 6.6328 Å, 107.41 107.41 90.00°
Element x y z (fractional)
Tl: 0.0000 0.0000 0.0000
Tl: 0.7500 0.2500 0.5000
Pt: 0.2500 0.7500 0.5000
Cl: 0.5000 0.5000 0.0000

---

[11]
Density functional theory data (PBEsol) for an optimized crystal structure of Sc5Ru3.

Results
M_tot = 0.00 μB/f.u.
E_form = -0.365 eV per atom
Fermi-level density of states = 0.709 states/eV/atom
E = -8.3076 eV/atom
Polymorph energy (0 for the lowest one) = 41.1 meV per atom

Cell: 4.4109 5.7380 5.7380 Å, 108.47 90.00 90.00°
Element x y z (fractional)
Ru: 0.0000 0.5000 0.5000
Ru: 0.5000 0.7679 0.2321
Ru: 0.5000 0.2321 0.7679
Sc: 0.0000 0.0000 0.0000
Sc: 0.0000 0.5000 0.0000
Sc: 0.0000 0.0000 0.5000
Sc: 0.5000 0.7211 0.7211
Sc: 0.5000 0.2789 0.2789

---

[12]
Density functional theory data (PBEsol) for an optimized crystal structure of Mn3NiB.

Results
M_tot = 7.08 μB/f.u.
E_form = 0.314 eV per atom
Fermi-level density of states = 1.389 states/eV/atom
E = -8.1771 eV/atom

Cell: 3.8146 3.8146 3.8146 Å, 90.00 90.00 90.00°
Last column: magnetic moment on the atom in μB.
Element x y z (fractional)
Ni: 0.5000 0.5000 0.5000  0.67
B: 0.0000 0.0000 0.0000  -0.17
Mn: 0.0000 0.5000 0.0000  2.19
Mn: 0.0000 0.0000 0.5000  2.19
Mn: 0.5000 0.0000 0.0000  2.19

---

[13]
Density functional theory data (PBEsol) for an optimized crystal structure of AgCO3.

Results
M_tot = 0.00 μB/f.u.
Fermi-level density of states = 0.487 states/eV/atom
E_form (uncorrected) = -0.817 eV per atom
E = -6.5579 eV/atom

Cell: 4.9413 4.9413 6.0186 Å, 65.76 65.76 60.00°
Element x y z (fractional)
C: 0.2500 0.2500 0.2500
C: 0.7500 0.7500 0.7500
Ag: 0.0000 0.0000 0.0000
Ag: 0.5000 0.5000 0.5000
O: 0.5113 0.2500 0.2500
O: 0.7500 0.0113 0.7500
O: 0.0113 0.4887 0.7500
O: 0.9887 0.5113 0.2500
O: 0.2500 0.9887 0.2500
O: 0.4887 0.7500 0.7500

---

[14]
Density functional theory data (PBEsol) for an optimized crystal structure of Ti3Pt5.

Results
M_tot = 0.00 μB/f.u.
E_form = -0.955 eV per atom
Fermi-level density of states = 0.569 states/eV/atom
E = -8.4276 eV/atom

Cell: 5.4268 7.3252 7.3252 Å, 67.17 68.26 68.26°
Element x y z (fractional)
Ti: 0.1437 0.6434 0.6434
Ti: 0.4305 0.8566 0.8566
Ti: 0.8563 0.3566 0.3566
Ti: 0.5695 0.1434 0.1434
Ti: 0.0000 0.7500 0.2500
Ti: 0.0000 0.2500 0.7500
Pt: 0.1101 0.1062 0.1062
Pt: 0.3224 0.3938 0.3938
Pt: 0.8899 0.8938 0.8938
Pt: 0.6776 0.6062 0.6062
Pt: 0.7560 0.9940 0.4940
Pt: 0.2440 0.5060 0.0060
Pt: 0.2440 0.0060 0.5060
Pt: 0.7560 0.4940 0.9940
Pt: 0.5000 0.2500 0.7500
Pt: 0.5000 0.7500 0.2500

---

[15]
Density functional theory data (PBEsol) for an optimized crystal structure of Ca5Si2N6.

Results
M_tot = 0.00 μB/f.u.
Fermi-level density of states = 0.000 states/eV/atom
E_form (uncorrected) = -1.293 eV per atom
E = -6.9331 eV/atom

Cell: 5.8577 5.8577 11.9369 Å, 94.87 94.87 115.92°
Element x y z (fractional)
Ca: 0.3793 0.7287 0.2613
Ca: 0.7287 0.3793 0.2613
Ca: 0.6207 0.2713 0.7387
Ca: 0.2713 0.6207 0.7387
Ca: 0.0882 0.0882 0.2075
Ca: 0.9118 0.9118 0.7925
Ca: 0.1885 0.8115 0.5000
Ca: 0.8115 0.1885 0.5000
Ca: 0.2415 0.7585 0.0000
Ca: 0.7585 0.2415 0.0000
Si: 0.3493 0.3493 0.4251
Si: 0.6507 0.6507 0.5749
Si: 0.6761 0.6761 0.0688
Si: 0.3239 0.3239 0.9312
N: 0.3882 0.0926 0.3618
N: 0.0926 0.3882 0.3618
N: 0.6118 0.9074 0.6382
N: 0.9074 0.6118 0.6382
N: 0.6568 0.9479 0.1277
N: 0.9479 0.6568 0.1277
N: 0.3432 0.0521 0.8723
N: 0.0521 0.3432 0.8723
N: 0.3897 0.3897 0.0855
N: 0.6103 0.6103 0.9145
N: 0.3562 0.3562 0.5752
N: 0.6438 0.6438 0.4248

---

[16]
Density functional theory data (PBEsol) for an optimized crystal structure of KBa3.

Results
M_tot = 0.00 μB/f.u.
E_form = 0.099 eV per atom
Fermi-level density of states = 1.783 states/eV/atom
E = -1.7959 eV/atom
Polymorph energy (0 for the lowest one) = 46.3 meV per atom

Cell: 4.7067 7.2011 8.3898 Å, 115.41 106.29 90.00°
Element x y z (fractional)
K: 0.0000 0.5000 0.0000
Ba: 0.7458 0.7458 0.4917
Ba: 0.5000 0.0000 0.0000
Ba: 0.2542 0.2542 0.5083

---

[17]
Density functional theory data (PBEsol) for an optimized crystal structure of InIrO2.

Results
M_tot = 0.00 μB/f.u.
Fermi-level density of states = 0.613 states/eV/atom
E_form (uncorrected) = -0.575 eV per atom
E = -6.4011 eV/atom

Cell: 3.1900 3.1900 6.7139 Å, 76.26 76.26 60.00°
Element x y z (fractional)
Ir: 0.5000 0.5000 0.5000
O: 0.8798 0.8798 0.3606
O: 0.1202 0.1202 0.6394
In: 0.0000 0.0000 0.0000

---

[18]
Density functional theory data (PBEsol) for an optimized crystal structure of RbSr3Hg.

Results
M_tot = 0.00 μB/f.u.
E_form = -0.147 eV per atom
Fermi-level density of states = 0.863 states/eV/atom
E = -1.5698 eV/atom
Polymorph energy (0 for the lowest one) = 0.0 meV per atom

Cell: 6.3714 6.3714 6.3714 Å, 90.00 90.00 90.00°
Element x y z (fractional)
Sr: 0.0000 0.5000 0.0000
Sr: 0.0000 0.0000 0.5000
Sr: 0.5000 0.0000 0.0000
Hg: 0.0000 0.0000 0.0000
Rb: 0.5000 0.5000 0.5000

---

[19]
Density functional theory data (PBEsol) for an optimized crystal structure of TaAl5.

Results
M_tot = 0.28 μB/f.u.
E_form = 0.003 eV per atom
Fermi-level density of states = 1.088 states/eV/atom
E = -5.4985 eV/atom
Polymorph energy (0 for the lowest one) = 114.1 meV per atom

Cell: 4.5853 4.9290 4.9290 Å, 120.00 90.00 90.00°
Last column: magnetic moment on the atom in μB.
Element x y z (fractional)
Al: 0.0000 0.3286 0.3286  0.00
Al: 0.0000 0.6714 0.0000  0.00
Al: 0.0000 0.0000 0.6714  0.00
Al: 0.5000 0.3333 0.6667  0.00
Al: 0.5000 0.6667 0.3333  0.00
Ta: 0.5000 0.0000 0.0000  0.13

---

[20]
Density functional theory data (PBEsol) for an optimized crystal structure of CrHg2Br.

Results
M_tot = 4.34 μB/f.u.
Fermi-level density of states = 0.615 states/eV/atom
E_form (uncorrected) = 0.086 eV per atom
E = -3.2250 eV/atom
Polymorph energy (0 for the lowest one) = 0.0 meV per atom

Cell: 3.5695 3.5695 8.6436 Å, 78.08 78.08 60.00°
Last column: magnetic moment on the atom in μB.
Element x y z (fractional)
Br: 0.5186 0.5186 0.4441  0.02
Cr: 0.2481 0.2481 0.2557  3.77
Hg: 0.9902 0.9902 0.0295  0.04
Hg: 0.7431 0.7431 0.7708  0.02